[1]
Ag2AsCl: optimized geometry, PBE-GGA.

Cell: 3.367 6.656 4.130 Å, 90.00 90.00 90.00°
Each line ends with the local moment (μB).
Element x y z (fractional)
As: 0.500 0.000 0.500  0.33
Ag: 0.000 0.000 0.000  0.04
Ag: 0.500 0.500 0.000  0.01
Cl: 0.000 0.500 0.500  0.06

Computed properties:
Space-group type: Pmmm, No. 47
Raw formation energy (eV/atom): 0.17


[2]
Ag5As2Cl12: optimized geometry, PBE-GGA.

Cell: 7.317 7.958 9.772 Å, 103.16 90.00 117.37°
Element x y z (fractional)
Ag: 0.297 0.593 0.621
Ag: 0.279 0.557 0.296
Ag: 0.000 0.000 0.500
Ag: 0.721 0.443 0.704
Ag: 0.703 0.407 0.379
As: 0.751 0.000 0.000
As: 0.249 0.000 0.000
Cl: 0.954 0.909 0.151
Cl: 0.086 0.656 0.849
Cl: 0.569 0.656 0.849
Cl: 0.112 0.736 0.466
Cl: 0.625 0.736 0.466
Cl: 0.544 0.088 0.844
Cl: 0.456 0.912 0.156
Cl: 0.888 0.264 0.534
Cl: 0.375 0.264 0.534
Cl: 0.914 0.344 0.151
Cl: 0.431 0.344 0.151
Cl: 0.046 0.091 0.849

Computed properties:
Space-group type: C2/m, No. 12
Raw formation energy (eV/atom): -0.48


[3]
Ag4AsCl: optimized geometry, PBE-GGA.

Cell: 5.567 5.567 5.567 Å, 60.00 60.00 60.00°
Element x y z (fractional)
Ag: 0.873 0.376 0.376
Ag: 0.376 0.376 0.873
Ag: 0.376 0.873 0.376
Ag: 0.376 0.376 0.376
As: 0.750 0.750 0.750
Cl: 0.000 0.000 0.000

Computed properties:
Space-group type: F-43m, No. 216
Raw formation energy (eV/atom): 0.31